First-principles (PBE) data for crystalline Er2MgScHg4 at its relaxed geometry, as listed in the Alexandria database.

Output
Crystal system   trigonal
SG   R-3m, No. 166
DFT formation energy   -0.4565 eV/atom

Unit cell a=5.0638 b=5.0638 c=8.8395 alpha=73.36 beta=73.36 gamma=60.00
Element x y z (fractional)
Hg (0.8766, 0.8766, 0.3703)
Hg (0.1234, 0.1234, 0.6297)
Hg (0.3721, 0.3721, 0.8837)
Hg (0.6279, 0.6279, 0.1163)
Sc (0.0000, 0.0000, 0.0000)
Er (0.2470, 0.2470, 0.2589)
Er (0.7530, 0.7530, 0.7411)
Mg (0.5000, 0.5000, 0.5000)

***

First-principles (PBE) data for crystalline TmLuPa4 at its relaxed geometry, as listed in the Alexandria database.

Output
Crystal system   cubic
SG   F-43m, No. 216
DFT formation energy   0.2316 eV/atom

Unit cell a=6.1201 b=6.1201 c=6.1201 alpha=60.00 beta=60.00 gamma=60.00
Element x y z (fractional)
Pa (0.1247, 0.6251, 0.6251)
Pa (0.6251, 0.1247, 0.6251)
Pa (0.6251, 0.6251, 0.1247)
Pa (0.6251, 0.6251, 0.6251)
Lu (0.0000, 0.0000, 0.0000)
Tm (0.2500, 0.2500, 0.2500)

***

First-principles (PBE) data for crystalline Ce2TaN4 at its relaxed geometry, as listed in the Alexandria database.

Output
Formation energy from raw total energies   -1.37 eV/atom
Crystal system   orthorhombic
SG   Pbca, No. 61
Polymorph energy (0 for the lowest one)   0 meV per atom

Unit cell a=5.7270 b=5.6749 c=12.3447 alpha=90.00 beta=90.00 gamma=90.00
Last column: magnetic moment on the atom in μB.
Element x y z (fractional)
Ce (0.5138, 0.4648, 0.8524)  0.44
Ce (0.5138, 0.0352, 0.3524)  0.44
Ce (0.9862, 0.5352, 0.3524)  0.44
Ce (0.9862, 0.9648, 0.8524)  0.44
Ce (0.4862, 0.9648, 0.6476)  0.44
Ce (0.4862, 0.5352, 0.1476)  0.44
Ce (0.0138, 0.0352, 0.1476)  0.44
Ce (0.0138, 0.4648, 0.6476)  0.44
Ta (0.0000, 0.5000, 0.0000)  0.07
Ta (0.0000, 0.0000, 0.5000)  0.07
Ta (0.5000, 0.0000, 0.0000)  0.07
Ta (0.5000, 0.5000, 0.5000)  0.07
N (0.5746, 0.0198, 0.8290)  -0.03
N (0.7954, 0.7032, 0.5230)  -0.02
N (0.4254, 0.9802, 0.1710)  -0.03
N (0.9254, 0.5198, 0.8290)  -0.03
N (0.7046, 0.2032, 0.5230)  -0.02
N (0.2046, 0.2968, 0.4770)  -0.02
N (0.2046, 0.2032, 0.9770)  -0.02
N (0.5746, 0.4802, 0.3290)  -0.03
N (0.0746, 0.0198, 0.6710)  -0.03
N (0.0746, 0.4802, 0.1710)  -0.03
N (0.2954, 0.7968, 0.4770)  -0.02
N (0.2954, 0.7032, 0.9770)  -0.02
N (0.7046, 0.2968, 0.0230)  -0.02
N (0.9254, 0.9802, 0.3290)  -0.03
N (0.7954, 0.7968, 0.0230)  -0.02
N (0.4254, 0.5198, 0.6710)  -0.03

***

First-principles (PBE) data for crystalline Pr3Sm2Y6Mg at its relaxed geometry, as listed in the Alexandria database.

Output
Crystal system   monoclinic
SG   C2/m, No. 12
DFT formation energy   0.0248 eV/atom

Unit cell a=6.2293 b=6.2293 c=11.8926 alpha=95.02 beta=95.02 gamma=120.02
Element x y z (fractional)
Sm (0.3338, 0.6662, 0.0000)
Sm (0.6662, 0.3338, 0.0000)
Y (0.4127, 0.0814, 0.2458)
Y (0.9186, 0.5873, 0.7542)
Y (0.5873, 0.9186, 0.7542)
Y (0.2496, 0.2496, 0.7535)
Y (0.7504, 0.7504, 0.2465)
Y (0.0814, 0.4127, 0.2458)
Pr (0.8341, 0.1659, 0.5000)
Pr (0.5000, 0.5000, 0.5000)
Pr (0.1659, 0.8341, 0.5000)
Mg (0.0000, 0.0000, 0.0000)

***

First-principles (PBE) data for crystalline Np2TeH2I at its relaxed geometry, as listed in the Alexandria database.

Output
Raw total energy   -6.656 eV/atom
Crystal system   trigonal
SG   P-3m1, No. 164

Unit cell a=3.9811 b=3.9811 c=9.1167 alpha=90.00 beta=90.00 gamma=120.00
Last column: magnetic moment on the atom in μB.
Element x y z (fractional)
H (0.3333, 0.6667, 0.2506)  -0.02
H (0.6667, 0.3333, 0.7494)  -0.02
Te (0.0000, 0.0000, 0.5000)  -0.08
Np (0.3333, 0.6667, 0.7319)  4.20
Np (0.6667, 0.3333, 0.2681)  4.20
I (0.0000, 0.0000, 0.0000)  -0.03

***

First-principles (PBE) data for crystalline Cu7Cl at its relaxed geometry, as listed in the Alexandria database.

Output
Formation energy from raw total energies   0.21 eV/atom
Crystal system   cubic
SG   Fm-3m, No. 225

Unit cell a=5.2708 b=5.2708 c=5.2708 alpha=60.00 beta=60.00 gamma=60.00
Element x y z (fractional)
Cu (0.0000, 0.5000, 0.0000)
Cu (0.0000, 0.5000, 0.5000)
Cu (0.5000, 0.0000, 0.0000)
Cu (0.5000, 0.5000, 0.5000)
Cu (0.5000, 0.5000, 0.0000)
Cu (0.0000, 0.0000, 0.5000)
Cu (0.5000, 0.0000, 0.5000)
Cl (0.0000, 0.0000, 0.0000)

***

First-principles (PBE) data for crystalline HfTi6Sb3 at its relaxed geometry, as listed in the Alexandria database.

Output
Formation energy from raw total energies   -0.27 eV/atom
Crystal system   orthorhombic
SG   Cmc2_1, No. 36

Unit cell a=7.3380 b=7.4025 c=7.4025 alpha=94.95 beta=90.00 gamma=90.00
Element x y z (fractional)
Hf (0.9719, 0.3322, 0.6678)
Hf (0.4719, 0.6678, 0.3322)
Ti (0.1603, 0.7259, 0.5712)
Ti (0.6603, 0.2741, 0.4288)
Ti (0.6170, 0.2226, 0.7774)
Ti (0.1603, 0.4288, 0.2741)
Ti (0.8322, 0.4066, 0.0525)
Ti (0.6455, 0.9153, 0.0847)
Ti (0.3322, 0.5934, 0.9475)
Ti (0.1170, 0.7774, 0.2226)
Ti (0.6603, 0.5712, 0.7259)
Ti (0.8322, 0.9475, 0.5934)
Ti (0.3322, 0.0525, 0.4066)
Ti (0.1455, 0.0847, 0.9153)
Sb (0.4605, 0.8887, 0.7335)
Sb (0.4605, 0.2665, 0.1113)
Sb (0.3449, 0.3972, 0.6028)
Sb (0.9605, 0.7335, 0.8887)
Sb (0.9605, 0.1113, 0.2665)
Sb (0.8449, 0.6028, 0.3972)

***

First-principles (PBE) data for crystalline ScNbPt2Pb at its relaxed geometry, as listed in the Alexandria database.

Output
Crystal system   tetragonal
SG   P4/mmm, No. 123
DFT formation energy   0.4621 eV/atom

Unit cell a=4.9520 b=5.0504 c=4.9520 alpha=90.00 beta=90.00 gamma=90.00
Element x y z (fractional)
Pt (0.5000, 0.0000, 0.0000)
Pt (0.0000, 0.0000, 0.5000)
Sc (0.0000, 0.5000, 0.0000)
Pb (0.5000, 0.5000, 0.5000)
Nb (0.0000, 0.0000, 0.0000)